(1)
## LiZn2Sb (PBE)

Data for crystalline LiZn2Sb at its relaxed geometry.

Unit cell a=5.084 b=5.084 c=3.287 alpha=90.00 beta=90.00 gamma=115.72
Fractional positions:
Li (0.500, 0.000, 0.500)
Sb (0.000, 0.500, 0.500)
Zn (0.000, 0.000, 0.000)
Zn (0.500, 0.500, 0.000)

Properties
ρ: 5.63 g/cm³
calculated volume: 77 Å³ per cell
formation energy from raw total energies: -3.9 kJ/mol of atoms
symmetry: No. 65
magnetization: 0.00 μB per cell



(2)
## OsPtNF2 (PBE)

Data for crystalline OsPtNF2 at its relaxed geometry.

Unit cell a=4.203 b=4.203 c=3.772 alpha=90.00 beta=90.00 gamma=90.00
Fractional positions:
F (0.000, 0.500, 0.000)
F (0.500, 0.000, 0.000)
Os (0.000, 0.000, 0.000)
N (0.000, 0.000, 0.500)
Pt (0.500, 0.500, 0.500)

Properties
ρ: 10.90 g/cm³
calculated volume: 67 Å³ per cell
formation energy from raw total energies: 37.3 kJ/mol of atoms
symmetry: No. 123
magnetization: 0.03 μB per cell



(3)
## CaPrAsH2 (PBE)

Data for crystalline CaPrAsH2 at its relaxed geometry.

Unit cell a=4.066 b=6.365 c=7.300 alpha=90.00 beta=90.00 gamma=108.63
Fractional positions:
H (0.188, 0.375, 0.928)
H (0.812, 0.625, 0.428)
H (0.188, 0.375, 0.572)
H (0.812, 0.625, 0.072)
Ca (0.000, 0.000, 0.000)
Ca (0.000, 0.000, 0.500)
Pr (0.733, 0.466, 0.750)
Pr (0.267, 0.534, 0.250)
As (0.425, 0.850, 0.750)
As (0.575, 0.150, 0.250)

Properties
ρ: 4.78 g/cm³
calculated volume: 179 Å³ per cell
symmetry: No. 63
magnetization: 0.00 μB per cell
E: -4.4992 eV/atom



(4)
## La3Cu (PBE)

Data for crystalline La3Cu at its relaxed geometry.

Unit cell a=4.772 b=6.125 c=4.772 alpha=67.08 beta=90.00 gamma=112.92
Fractional positions:
La (0.750, 0.500, 0.750)
La (0.500, 0.000, 0.500)
La (0.250, 0.500, 0.250)
Cu (0.000, 0.000, 0.000)

Properties
ρ: 6.85 g/cm³
calculated volume: 116 Å³ per cell
energy relative to the elements: 0.117 eV per atom
symmetry: No. 139
magnetization: 0.00 μB per cell



(5)
## BaAlRu3 (PBE)

Data for crystalline BaAlRu3 at its relaxed geometry.

Unit cell a=4.700 b=4.700 c=4.700 alpha=90.00 beta=90.00 gamma=90.00
Site moments in Bohr magnetons follow the coordinates.
Fractional positions:
Ru (0.500, 0.000, 0.000)  0.39
Ru (0.000, 0.500, 0.000)  0.68
Ru (0.000, 0.000, 0.500)  0.59
Ba (0.500, 0.500, 0.500)  0.00
Al (0.000, 0.000, 0.000)  -0.01

Properties
ρ: 7.48 g/cm³
calculated volume: 104 Å³ per cell
energy relative to the elements: 0.816 eV per atom
symmetry: No. 221
magnetization: 1.77 μB per cell



(6)
## CaSnP (PBE)

Data for crystalline CaSnP at its relaxed geometry.

Unit cell a=8.851 b=4.011 c=10.178 alpha=90.00 beta=116.15 gamma=90.00
Fractional positions:
Sn (0.614, 0.500, 0.429)
Sn (0.614, 0.000, 0.929)
Sn (0.386, 0.500, 0.571)
Sn (0.386, 0.000, 0.071)
P (0.813, 0.000, 0.584)
P (0.187, 0.000, 0.416)
P (0.813, 0.500, 0.084)
P (0.187, 0.500, 0.916)
Ca (0.824, 0.500, 0.800)
Ca (0.824, 0.000, 0.300)
Ca (0.176, 0.500, 0.200)
Ca (0.176, 0.000, 0.700)

Properties
ρ: 3.89 g/cm³
calculated volume: 324 Å³ per cell
energy relative to the elements: -0.635 eV per atom
symmetry: No. 12
magnetization: 0.00 μB per cell



(7)
## Y2ScZn4 (PBE)

Data for crystalline Y2ScZn4 at its relaxed geometry.

Unit cell a=4.578 b=4.578 c=9.340 alpha=75.81 beta=75.81 gamma=60.00
Fractional positions:
Zn (0.862, 0.862, 0.415)
Zn (0.138, 0.138, 0.585)
Zn (0.638, 0.638, 0.085)
Zn (0.362, 0.362, 0.915)
Y (0.246, 0.246, 0.261)
Y (0.754, 0.754, 0.739)
Sc (0.000, 0.000, 0.000)

Properties
ρ: 4.95 g/cm³
calculated volume: 163 Å³ per cell
energy relative to the elements: -0.133 eV per atom
symmetry: No. 166
magnetization: 0.00 μB per cell



(8)
## TcIrOs2 (PBE)

Data for crystalline TcIrOs2 at its relaxed geometry.

Unit cell a=4.723 b=4.723 c=4.749 alpha=80.47 beta=80.47 gamma=33.52
Fractional positions:
Os (0.001, 0.001, 0.996)
Os (0.499, 0.499, 0.504)
Ir (0.250, 0.250, 0.250)
Tc (0.750, 0.750, 0.750)

Properties
ρ: 19.32 g/cm³
calculated volume: 58 Å³ per cell
energy relative to the elements: 0.009 eV per atom
symmetry: No. 12
magnetization: 0.00 μB per cell



(9)
## TlIn2Sb (PBE)

Data for crystalline TlIn2Sb at its relaxed geometry.

Unit cell a=5.455 b=5.455 c=5.455 alpha=60.00 beta=60.00 gamma=60.00
Fractional positions:
In (0.750, 0.750, 0.750)
In (0.250, 0.250, 0.250)
Sb (0.000, 0.000, 0.000)
Tl (0.500, 0.500, 0.500)

Properties
ρ: 8.04 g/cm³
calculated volume: 115 Å³ per cell
formation energy from raw total energies: 3.9 kJ/mol of atoms
symmetry: No. 225
magnetization: 0.00 μB per cell



(10)
## Ce2SI (PBE)

Data for crystalline Ce2SI at its relaxed geometry.

Unit cell a=4.108 b=4.108 c=7.885 alpha=74.90 beta=74.90 gamma=60.00
Site moments in Bohr magnetons follow the coordinates.
Fractional positions:
Ce (0.732, 0.732, 0.804)  0.86
Ce (0.268, 0.268, 0.196)  0.86
S (0.000, 0.000, 0.000)  -0.03
I (0.500, 0.500, 0.500)  -0.01

Properties
ρ: 6.63 g/cm³
calculated volume: 110 Å³ per cell
formation energy from raw total energies: -137.6 kJ/mol of atoms
symmetry: No. 166
magnetization: 2.11 μB per cell